This record from Alexandria describes a geometry-optimized DyNp2S5 structure. The functional is PBE-GGA.

Output
E_tot in eV/atom: -7.9092
Energy relative to the elements, uncorrected in eV/atom: -1.52

a = 7.5551 Å, b = 11.6935 Å, c = 3.9156 Å
α = 90.00°, β = 90.00°, γ = 90.00°
Closest atoms and distances in Å follow each position.
Space group Pbam (No. 55)
One atom of each set of equivalent atoms:
Dy1 0.0000 0.0000 0.0000  6 S 2.66-2.73
Np1 0.0270 0.3229 0.5000  8 S 2.78-2.96
S1 0.0000 0.5000 0.0000  4 Np 2.86
S2 0.1744 0.1050 0.5000  2 Dy 2.66, 2 Np 2.78-2.79
S3 0.1816 0.7981 0.0000  1 Dy 2.73, 4 Np 2.88-2.96

This record from Alexandria describes a geometry-optimized LiTeOs2 structure. The functional is PBE-GGA.

Output
E_tot in eV/atom: -6.2516
Energy relative to the elements, uncorrected in eV/atom: 0.63

a = 3.2396 Å, b = 4.3879 Å, c = 8.7479 Å
α = 90.00°, β = 90.00°, γ = 90.00°
Closest atoms and distances in Å follow each position.
Space group Imm2 (No. 44)
One atom of each set of equivalent atoms:
Li1 0.0000 0.0000 0.0000  6 Os 2.69-2.73, 2 Te 2.76
Te1 0.0000 0.5000 0.2447  6 Os 2.69-2.73, 2 Li 2.76
Os1 0.0000 0.0000 0.4993  2 Te 2.69, 4 Li 2.73, 2 Os 2.75
Os2 0.0000 0.5000 0.7459  2 Li 2.69, 4 Te 2.73, 2 Os 2.75

This record from Alexandria describes a geometry-optimized ErPa4As5 structure. The functional is PBE-GGA.

Output
E_tot in eV/atom: -7.7213
DFT formation energy in eV/f.u.: -11.42

a = 9.1426 Å, b = 9.1426 Å, c = 5.7829 Å
α = 90.00°, β = 90.00°, γ = 90.00°
Closest atoms and distances in Å follow each position.
Space group I4/m (No. 87)
One atom of each set of equivalent atoms:
Er1 0.0000 0.0000 0.0000  6 As 2.87-2.89
Pa1 0.1000 0.2999 0.5000  6 As 2.89-2.91
As1 0.0000 0.0000 0.5000  4 Pa 2.89, 2 Er 2.89
As2 0.0997 0.2980 0.0000  1 Er 2.87, 5 Pa 2.89-2.91

This record from Alexandria describes a geometry-optimized Zn3SF structure. The functional is PBE-GGA.

Output
E_tot in eV/atom: -2.0336
Energy relative to the elements, uncorrected in eV/atom: -0.07
Polymorph energy (0 for the lowest one) in eV per formula unit: 0.000

a = 4.4460 Å, b = 4.4460 Å, c = 4.4460 Å
α = 90.00°, β = 90.00°, γ = 90.00°
Closest atoms and distances in Å follow each position.
Space group Pm-3m (No. 221)
One atom of each set of equivalent atoms:
Zn1 0.0000 0.0000 0.5000  2 F 2.22
S1 0.5000 0.5000 0.5000  12 Zn 3.14
F1 0.0000 0.0000 0.0000  6 Zn 2.22

This record from Alexandria describes a geometry-optimized Al2WCl structure. The functional is PBE-GGA.

Output
E_tot in eV/atom: -5.3014
Energy relative to the elements, uncorrected in eV/atom: 0.27
Polymorph energy (0 for the lowest one) in eV per formula unit: 1.604

a = 2.8883 Å, b = 2.8883 Å, c = 9.1372 Å
α = 90.00°, β = 90.00°, γ = 90.00°
Closest atoms and distances in Å follow each position.
Space group P4mm (No. 99)
One atom of each set of equivalent atoms:
Al1 0.0000 0.0000 0.0000  4 W 2.77, 8 Al 2.89
Al2 0.5000 0.5000 0.2245  8 Al 2.89
W1 0.5000 0.5000 0.7952  4 Cl 2.63, 4 Al 2.77, 4 W 2.89
Cl1 0.0000 0.0000 0.6139  4 W 2.63, 4 Cl 2.89

This record from Alexandria describes a geometry-optimized PaCo4Sb structure. The functional is PBE-GGA.

Output
E_tot in eV/atom: -7.1533
Energy relative to the elements, uncorrected in eV/atom: -0.15

a = 7.0363 Å, b = 7.0363 Å, c = 7.0363 Å
α = 90.00°, β = 90.00°, γ = 90.00°
Closest atoms and distances in Å follow each position.
Space group F-43m (No. 216)
One atom of each set of equivalent atoms:
Pa1 0.0000 0.0000 0.0000  12 Co 2.92, 4 Sb 3.05
Co1 0.1235 0.1235 0.6235  6 Co 2.46-2.52
Sb1 0.2500 0.2500 0.2500  12 Co 2.91, 4 Pa 3.05

This record from Alexandria describes a geometry-optimized NaTcPb2 structure. The functional is PBE-GGA.

Output
E_tot in eV/atom: -4.2926
DFT formation energy in eV/f.u.: 1.93
Polymorph energy (0 for the lowest one) in eV per formula unit: 0.000

a = 7.0205 Å, b = 7.0205 Å, c = 7.0205 Å
α = 90.00°, β = 90.00°, γ = 90.00°
Closest atoms and distances in Å follow each position.
Space group Fm-3m (No. 225)
One atom of each set of equivalent atoms:
Na1 0.0000 0.0000 0.0000  8 Pb 3.04
Tc1 0.0000 0.0000 0.5000  8 Pb 3.04
Pb1 0.2500 0.2500 0.2500  4 Na 3.04, 4 Tc 3.04

This record from Alexandria describes a geometry-optimized KMgBi2 structure. The functional is PBE-GGA.

Output
E_tot in eV/atom: -2.8159
DFT formation energy in eV/f.u.: -0.81

a = 4.1279 Å, b = 4.1279 Å, c = 7.7308 Å
α = 90.00°, β = 90.00°, γ = 90.00°
Closest atoms and distances in Å follow each position.
Space group P4/mmm (No. 123)
One atom of each set of equivalent atoms:
K1 0.0000 0.0000 0.0000  8 Bi 3.76, 2 Mg 3.87, 4 K 4.13
Mg1 0.0000 0.0000 0.5000  8 Bi 3.28
Bi1 0.5000 0.5000 0.3057  1 Bi 3.00, 4 Mg 3.28

This record from Alexandria describes a geometry-optimized ZrCu3Br structure. The functional is PBE-GGA.

Output
E_tot in eV/atom: -3.2911
Energy relative to the elements, uncorrected in eV/atom: 1.21
Polymorph energy (0 for the lowest one) in eV per formula unit: 0.940

a = 5.0673 Å, b = 5.0673 Å, c = 5.0673 Å
α = 90.00°, β = 90.00°, γ = 90.00°
Closest atoms and distances in Å follow each position.
Space group Pm-3m (No. 221)
One atom of each set of equivalent atoms:
Zr1 0.0000 0.0000 0.0000  6 Cu 2.53
Cu1 0.0000 0.0000 0.5000  2 Zr 2.53
Br1 0.5000 0.5000 0.5000  12 Cu 3.58

This record from Alexandria describes a geometry-optimized VHgCl3 structure. The functional is PBE-GGA.

Output
E_tot in eV/atom: -3.7185
Energy relative to the elements, uncorrected in eV/atom: -0.73
Polymorph energy (0 for the lowest one) in eV per formula unit: 1.225

a = 4.8833 Å, b = 4.8833 Å, c = 4.8833 Å
α = 90.00°, β = 90.00°, γ = 90.00°
Closest atoms and distances in Å follow each position.
Space group Pm-3m (No. 221)
One atom of each set of equivalent atoms:
V1 0.0000 0.0000 0.0000  6 Cl 2.44
Hg1 0.5000 0.5000 0.5000  12 Cl 3.45
Cl1 0.0000 0.0000 0.5000  2 V 2.44

This record from Alexandria describes a geometry-optimized ScURu4 structure. The functional is PBE-GGA.

Output
E_tot in eV/atom: -9.0815
DFT formation energy in eV/f.u.: 0.23
Polymorph energy (0 for the lowest one) in eV per formula unit: 1.338

a = 4.6585 Å, b = 3.1784 Å, c = 7.2226 Å
α = 90.00°, β = 93.84°, γ = 90.00°
Closest atoms and distances in Å follow each position.
Space group P2/m (No. 10)
One atom of each set of equivalent atoms:
Sc1 0.0000 0.0000 0.0000  8 Ru 2.70-2.89
U1 0.5000 0.5000 0.5000  6 Ru 2.53-2.56
Ru1 0.0232 0.5000 0.3030  1 U 2.56, 2 Sc 2.70
Ru2 0.4842 0.0000 0.7709  2 U 2.53, 1 Sc 2.82

This record from Alexandria describes a geometry-optimized Pm2B5Os structure. The functional is PBE-GGA.

Output
E_tot in eV/atom: -7.0442
DFT formation energy in eV/f.u.: -2.24

a = 5.0866 Å, b = 5.0866 Å, c = 8.0500 Å
α = 90.00°, β = 90.00°, γ = 90.00°
Closest atoms and distances in Å follow each position.
Space group I4mm (No. 107)
One atom of each set of equivalent atoms:
Pm1 0.0000 0.5000 0.0000  10 B 2.64-2.79
B1 0.0000 0.0000 0.4100  4 B 1.80
B2 0.1828 0.1828 0.2581  3 B 1.80-1.86
Os1 0.0000 0.0000 0.7257  5 B 2.30-2.54

This record from Alexandria describes a geometry-optimized NbWSCl2 structure. The functional is PBE-GGA.

Output
E_tot in eV/atom: -5.4411
Energy relative to the elements, uncorrected in eV/atom: 0.73
Polymorph energy (0 for the lowest one) in eV per formula unit: 0.000

a = 4.8263 Å, b = 4.8263 Å, c = 4.6525 Å
α = 90.00°, β = 90.00°, γ = 90.00°
Closest atoms and distances in Å follow each position.
Space group P4/mmm (No. 123)
One atom of each set of equivalent atoms:
Nb1 0.0000 0.0000 0.0000  8 Cl 3.35, 4 S 3.41
W1 0.5000 0.5000 0.5000  2 S 2.33, 4 Cl 2.41
S1 0.5000 0.5000 0.0000  2 W 2.33
Cl1 0.0000 0.5000 0.5000  2 W 2.41

What are the density values for these records? In order: 7.650; 13.754; 10.072; 4.673; 5.953; 11.221; 10.277; 6.068; 4.617; 5.103; 10.696; 8.519; 5.818 Mg/m³.